Pm2Tl3Pd | PBE | relaxed

Values from the calculation:
* calculated total energy: -24.189 eV for the cell shown
* Fermi-level density of states: 4.204 states/eV per cell
* formation energy: -0.40 eV/atom

Geometry as POSCAR:
```
Pm2Tl3Pd
1.0
3.668 0.000 0.000
0.000 4.997 0.000
0.000 0.000 8.619
Pm Tl Pd
2 3 1
Direct
0.000 0.500 0.028
0.000 0.000 0.484
0.500 0.000 0.835
0.500 0.000 0.179
0.500 0.500 0.648
0.500 0.500 0.325
```